1.
LaAs3Cl: optimized geometry, PBE.

The structure belongs to space group Pm-3m (No. 221); the cell edges are 5.762, 5.762 and 5.762 Å and the angles 90.00°, 90.00° and 90.00°. The distinct sites, in fractional coordinates, are La at (0.000, 0.000, 0.000), As at (0.000, 0.000, 0.500) and Cl at (0.500, 0.500, 0.500).

The final energy comes out at -17.5 eV for the cell shown. Its excess energy over the best structure of this formula in the dataset is 616 meV per atom. The density of states at the Fermi level is 7.2 states/eV/cell. The calculation puts the formation energy without anion corrections at 3.24 eV/f.u.

***

2.
Dy2HoCu6: optimized geometry, PBE.

The structure belongs to space group P6/mmm (No. 191); the cell edges are 7.3184, 7.3184 and 3.5500 Å and the angles 90.00°, 90.00° and 120.00°. The distinct sites, in fractional coordinates, are Dy at (0.3333, 0.6667, 0.0000), Ho at (0.0000, 0.0000, 0.0000) and Cu at (0.0000, 0.3330, 0.5000).

The final energy comes out at -40.7 eV for the cell shown. For the formation energy from the elements, the calculation gives -261 meV per atom. The density of states at the Fermi level is 4.4 states/eV/cell.

***

3.
BaW2Au: optimized geometry, PBE.

The structure belongs to space group P2/m (No. 10); the cell edges are 3.112, 5.550 and 5.126 Å and the angles 90.00°, 92.58° and 90.00°. The distinct sites, in fractional coordinates, are Ba at (0.000, 0.000, 0.000), W at (0.380, 0.500, 0.745) and Au at (0.500, 0.000, 0.500).

The final energy comes out at -26.5 eV for the cell shown. Its excess energy over the best structure of this formula in the dataset is 638 meV per atom. For the formation energy from the elements, the calculation gives 1152 meV per atom. The density of states at the Fermi level is 3.5 states/eV/cell.

***

4.
Tb4In2Ru: optimized geometry, PBE.

The structure belongs to space group P2/m (No. 10); the cell edges are 6.568, 3.515 and 9.182 Å and the angles 90.00°, 109.62° and 90.00°. The distinct sites, in fractional coordinates, are Tb at (0.118, 0.000, 0.253), Tb at (0.333, 0.500, 0.650), In at (0.271, 0.500, 0.001) and Ru at (0.000, 0.000, 0.500).

The final energy comes out at -35.1 eV for the cell shown. Its excess energy over the best structure of this formula in the dataset is 125 meV per atom. For the formation energy from the elements, the calculation gives -262 meV per atom. The density of states at the Fermi level is 5.7 states/eV/cell.

***

5.
LaSb2Mo: optimized geometry, PBE.

The structure belongs to space group P4mm (No. 99); the cell edges are 3.677, 3.677 and 7.336 Å and the angles 90.00°, 90.00° and 90.00°. The distinct sites, in fractional coordinates, are La at (0.000, 0.000, 0.000), Sb at (0.000, 0.000, 0.447), Sb at (0.500, 0.500, 0.712) and Mo at (0.500, 0.500, 0.313).

The final energy comes out at -24.3 eV for the cell shown. Its excess energy over the best structure of this formula in the dataset is 207 meV per atom. The density of states at the Fermi level is 2.7 states/eV/cell. The calculation puts the formation energy without anion corrections at -0.34 eV/f.u.

***

6.
LaMgRu: optimized geometry, PBE.

The structure belongs to space group I4mm (No. 107); the cell edges are 3.395, 3.395 and 12.221 Å and the angles 90.00°, 90.00° and 90.00°. The distinct sites, in fractional coordinates, are La at (0.000, 0.000, 0.000), Mg at (0.000, 0.000, 0.260) and Ru at (0.000, 0.000, 0.641).

The final energy comes out at -32.0 eV for the cell shown. For the formation energy from the elements, the calculation gives -60 meV per atom. The density of states at the Fermi level is 4.4 states/eV/cell.